(1)
{
  "formula": "TbPr2Sm3S6",
  "functional": "GGA-PBE",
  "state": "relaxed",
  "lattice_angstrom": [[3.485, -6.055, 0.000], [3.485, 6.055, 0.000], [-2.328, 0.000, 6.569]],
  "species": ["Tb", "Pr", "Pr", "Sm", "Sm", "Sm", "S", "S", "S", "S", "S", "S"],
  "frac_coords": [[0.000, 0.000, 0.000], [0.333, 0.667, 0.000], [0.667, 0.333, 0.000], [0.171, 0.829, 0.500], [0.500, 0.500, 0.500], [0.829, 0.171, 0.500], [0.084, 0.408, 0.252], [0.239, 0.239, 0.745], [0.408, 0.084, 0.252], [0.592, 0.916, 0.748], [0.761, 0.761, 0.255], [0.916, 0.592, 0.748]],
  "spacegroup": "C2/m, No. 12",
  "formation_energy_uncorrected_ev_per_atom": -2.02,
  "n_ef_per_ev_atom": 0.419
}



(2)
{
  "formula": "SiTc2P",
  "functional": "GGA-PBE",
  "state": "relaxed",
  "lattice_angstrom": [[5.375, -1.757, 0.000], [5.375, 1.757, 0.000], [-1.143, 0.000, 3.324]],
  "species": ["Si", "Tc", "Tc", "P"],
  "frac_coords": [[0.000, 0.000, 0.000], [0.255, 0.255, 0.254], [0.745, 0.745, 0.746], [0.500, 0.500, 0.500]],
  "spacegroup": "C2/m, No. 12",
  "polymorph_energy_mev_per_atom": 979,
  "formation_energy_uncorrected_ev_per_atom": 0.48,
  "n_ef_per_ev_atom": 0.601
}



(3)
{
  "formula": "ZrTiAl",
  "functional": "GGA-PBE",
  "state": "relaxed",
  "lattice_angstrom": [[-1.641, 1.641, 5.268], [1.641, -1.641, 5.268], [1.641, 1.641, -5.268]],
  "species": ["Zr", "Ti", "Al"],
  "frac_coords": [[0.000, 0.000, 0.000], [0.325, 0.325, 0.000], [0.679, 0.679, 0.000]],
  "spacegroup": "I4mm, No. 107",
  "polymorph_energy_mev_per_atom": 89,
  "n_ef_per_ev_atom": 0.667,
  "ef_ev_per_fu": -0.7
}



(4)
{
  "formula": "Eu2InN",
  "functional": "GGA-PBE",
  "state": "relaxed",
  "lattice_angstrom": [[1.794, 1.036, 9.511], [-1.794, 1.036, 9.511], [0.000, -2.072, 9.511]],
  "species": ["Eu", "Eu", "In", "N"],
  "frac_coords": [[0.118, 0.118, 0.118], [0.882, 0.882, 0.882], [0.000, 0.000, 0.000], [0.500, 0.500, 0.500]],
  "spacegroup": "R-3m, No. 166",
  "formation_energy_uncorrected_ev_per_atom": -0.56,
  "n_ef_per_ev_atom": 1.379
}



Repeat the fourth record exactly.
{
  "formula": "Eu2InN",
  "functional": "GGA-PBE",
  "state": "relaxed",
  "lattice_angstrom": [[1.794, 1.036, 9.511], [-1.794, 1.036, 9.511], [0.000, -2.072, 9.511]],
  "species": ["Eu", "Eu", "In", "N"],
  "frac_coords": [[0.118, 0.118, 0.118], [0.882, 0.882, 0.882], [0.000, 0.000, 0.000], [0.500, 0.500, 0.500]],
  "spacegroup": "R-3m, No. 166",
  "formation_energy_uncorrected_ev_per_atom": -0.56,
  "n_ef_per_ev_atom": 1.379
}



Q: Number 2 is which compound?
A: SiTc2P